First-principles (PBE) data for a relaxed HfAl4Os crystal, as listed in the Alexandria database.

Values from the calculation:
The calculation puts the density of states at the Fermi level at 3.727 states/eV/f.u. For the formation energy, the calculation gives -0.209 eV per atom.

Cell and atoms, written as POSCAR:
```
HfAl4Os
1.0
-5.107 -0.601 -3.908
-3.924 1.545 4.892
-4.122 5.594 -0.810
Hf Al Os
2 8 2
Cartesian
-4.516 0.472 0.492 Hf
0.000 0.000 0.000 Hf
-5.415 3.583 -2.516 Al
-7.738 2.955 2.690 Al
-8.177 3.871 -2.215 Al
-2.023 2.010 0.702 Al
-4.976 2.666 2.389 Al
-6.768 2.066 -0.514 Al
-6.385 4.472 0.688 Al
-11.131 4.527 -0.527 Al
-8.835 3.505 0.333 Os
-4.319 3.033 -0.159 Os
```